This record from Alexandria describes a relaxed structure of BaAc2AgTe4. The functional is PBE-GGA.

```
BaAc2AgTe4
1.0
-1.853 -4.093 1.356
7.943 -1.421 -1.558
3.675 3.492 15.557
Ac Te Ba Ag
4 8 2 2
direct
0.370 0.740 0.563
0.630 0.260 0.063
0.370 0.740 0.937
0.630 0.260 0.437
0.000 0.000 0.500
0.725 0.451 0.879
0.000 0.000 0.000
0.275 0.549 0.121
0.275 0.549 0.379
0.725 0.451 0.621
0.547 0.095 0.250
0.453 0.905 0.750
0.879 0.757 0.250
0.121 0.243 0.750
0.149 0.298 0.250
0.851 0.702 0.750
```

Computed properties:
DOS(E_F): 2.19 states/eV/f.u.
E_form (uncorrected): -10.706 eV/f.u.

***

This record from Alexandria describes a relaxed structure of KTcPt2. The functional is PBE-GGA.

```
KTcPt2
1.0
4.772 0.043 0.000
0.120 4.771 0.000
-2.446 -2.407 3.317
K Tc Pt
1 1 2
direct
0.750 0.250 0.500
0.250 0.750 0.500
0.000 0.000 0.000
0.500 0.500 0.000
```

Computed properties:
DOS(E_F): 3.15 states/eV/f.u.
formation energy: 0.7883 eV per atom
excess energy over the best structure of this formula in the dataset: 706 meV per atom

***

This record from Alexandria describes a relaxed structure of PmPrGa4. The functional is PBE-GGA.

```
PmPrGa4
1.0
-4.125 0.983 0.579
-0.434 0.659 -4.207
0.441 -7.983 0.881
Ga Pm Pr
4 1 1
direct
0.666 0.166 0.333
0.417 0.417 0.835
0.583 0.583 0.165
0.834 0.334 0.667
0.000 0.000 0.000
0.250 0.750 0.500
```

Computed properties:
DOS(E_F): 3.62 states/eV/f.u.
formation energy: -0.6810 eV per atom
excess energy over the best structure of this formula in the dataset: 12 meV per atom

***

This record from Alexandria describes a relaxed structure of KSr2Ag. The functional is PBE-GGA.

```
KSr2Ag
1.0
-3.183 4.587 -10.598
-4.315 0.418 -11.166
-7.042 3.162 -9.160
K Ag Sr
1 1 2
direct
0.772 0.772 0.772
0.505 0.505 0.505
0.228 0.228 0.228
0.996 0.996 0.996
```

Computed properties:
DOS(E_F): 3.26 states/eV/f.u.
formation energy: 0.0286 eV per atom
excess energy over the best structure of this formula in the dataset: 122 meV per atom

***

no.,size of the total moment (μB/atom),total DFT energy (no corrections) (eV for the cell shown),theoretical density (g/cm³)
1,0.000,-72.5,6.6
2,0.913,-20.4,11.6
3,0.000,-25.7,6.9
4,0.001,-7.2,2.8